[1]
# ZnAu | Alexandria | PBE | relaxed
data_ZnAu
_chemical_formula_sum 'Zn2 Au2'
_cell_length_a 3.973
_cell_length_b 3.973
_cell_length_c 5.469
_cell_angle_alpha 90.00
_cell_angle_beta 90.00
_cell_angle_gamma 120.00
_space_group_name_H-M_alt 'P 1'
_space_group_IT_number 1
loop_
_space_group_symop_operation_xyz
'x,y,z'
loop_
_atom_site_label
_atom_site_fract_x
_atom_site_fract_y
_atom_site_fract_z
Zn1 0.000 0.000 0.000
Zn2 0.000 0.000 0.500
Au1 0.333 0.667 0.250
Au2 0.667 0.333 0.750
# total magnetic moment = 0.00 μB per formula unit
# SG = P6_3/mmc
# E_form = -0.076 eV per atom
# total DFT energy (no corrections) = -2.35 eV/atom

[2]
# ZnAu | Alexandria | PBE | relaxed
data_ZnAu
_chemical_formula_sum 'Zn1 Au1'
_cell_length_a 3.191
_cell_length_b 3.191
_cell_length_c 3.191
_cell_angle_alpha 90.00
_cell_angle_beta 90.00
_cell_angle_gamma 90.00
_space_group_name_H-M_alt 'P 1'
_space_group_IT_number 1
loop_
_space_group_symop_operation_xyz
'x,y,z'
loop_
_atom_site_label
_atom_site_fract_x
_atom_site_fract_y
_atom_site_fract_z
Zn1 0.000 0.000 0.000
Au1 0.500 0.500 0.500
# total magnetic moment = 0.00 μB per formula unit
# SG = Pm-3m
# E_form = -0.207 eV per atom
# total DFT energy (no corrections) = -2.48 eV/atom

[3]
# ZnAu2 | Alexandria | PBE | relaxed
data_ZnAu2
_chemical_formula_sum 'Zn2 Au4'
_cell_length_a 5.225
_cell_length_b 5.225
_cell_length_c 5.225
_cell_angle_alpha 113.73
_cell_angle_beta 113.73
_cell_angle_gamma 101.25
_space_group_name_H-M_alt 'P 1'
_space_group_IT_number 1
loop_
_space_group_symop_operation_xyz
'x,y,z'
loop_
_atom_site_label
_atom_site_fract_x
_atom_site_fract_y
_atom_site_fract_z
Zn1 0.250 0.250 0.000
Zn2 0.750 0.750 0.000
Au1 0.173 0.673 0.847
Au2 0.327 0.173 0.500
Au3 0.673 0.827 0.500
Au4 0.827 0.327 0.153
# total magnetic moment = 0.00 μB per formula unit
# SG = I4/mcm
# E_form = -0.110 eV per atom
# total DFT energy (no corrections) = -2.72 eV/atom

[4]
# ZnAu5 | Alexandria | PBE | relaxed
data_ZnAu5
_chemical_formula_sum 'Zn1 Au5'
_cell_length_a 6.495
_cell_length_b 6.495
_cell_length_c 4.267
_cell_angle_alpha 90.00
_cell_angle_beta 90.00
_cell_angle_gamma 144.23
_space_group_name_H-M_alt 'P 1'
_space_group_IT_number 1
loop_
_space_group_symop_operation_xyz
'x,y,z'
loop_
_atom_site_label
_atom_site_fract_x
_atom_site_fract_y
_atom_site_fract_z
Zn1 0.000 0.000 0.000
Au1 0.166 0.834 0.500
Au2 0.341 0.659 0.000
Au3 0.500 0.500 0.500
Au4 0.659 0.341 0.000
Au5 0.834 0.166 0.500
# total magnetic moment = 0.00 μB per formula unit
# SG = Cmmm
# E_form = -0.079 eV per atom
# total DFT energy (no corrections) = -3.02 eV/atom

[5]
# ZnAu | Alexandria | PBE | relaxed
data_ZnAu
_chemical_formula_sum 'Zn1 Au1'
_cell_length_a 2.963
_cell_length_b 2.963
_cell_length_c 4.343
_cell_angle_alpha 90.00
_cell_angle_beta 90.00
_cell_angle_gamma 120.00
_space_group_name_H-M_alt 'P 1'
_space_group_IT_number 1
loop_
_space_group_symop_operation_xyz
'x,y,z'
loop_
_atom_site_label
_atom_site_fract_x
_atom_site_fract_y
_atom_site_fract_z
Zn1 0.000 0.000 0.000
Au1 0.667 0.333 0.500
# total magnetic moment = 0.00 μB per formula unit
# SG = P-6m2
# E_form = -0.160 eV per atom
# total DFT energy (no corrections) = -2.44 eV/atom

[6]
# Zn8Au | Alexandria | PBE | relaxed
data_Zn8Au
_chemical_formula_sum 'Zn8 Au1'
_cell_length_a 6.202
_cell_length_b 6.202
_cell_length_c 6.202
_cell_angle_alpha 95.99
_cell_angle_beta 95.99
_cell_angle_gamma 142.32
_space_group_name_H-M_alt 'P 1'
_space_group_IT_number 1
loop_
_space_group_symop_operation_xyz
'x,y,z'
loop_
_atom_site_label
_atom_site_fract_x
_atom_site_fract_y
_atom_site_fract_z
Zn1 0.000 0.336 0.336
Zn2 0.000 0.664 0.664
Zn3 0.331 0.331 0.661
Zn4 0.331 0.669 0.000
Zn5 0.336 0.000 0.336
Zn6 0.664 0.000 0.664
Zn7 0.669 0.331 0.000
Zn8 0.669 0.669 0.339
Au1 0.000 0.000 0.000
# total magnetic moment = 0.00 μB per formula unit
# SG = I4/mmm
# E_form = -0.026 eV per atom
# total DFT energy (no corrections) = -1.52 eV/atom

[7]
# Zn3Au2 | Alexandria | PBE | relaxed
data_Zn3Au2
_chemical_formula_sum 'Zn3 Au2'
_cell_length_a 4.687
_cell_length_b 4.687
_cell_length_c 4.687
_cell_angle_alpha 67.67
_cell_angle_beta 67.67
_cell_angle_gamma 67.67
_space_group_name_H-M_alt 'P 1'
_space_group_IT_number 1
loop_
_space_group_symop_operation_xyz
'x,y,z'
loop_
_atom_site_label
_atom_site_fract_x
_atom_site_fract_y
_atom_site_fract_z
Zn1 0.000 0.500 0.500
Zn2 0.500 0.000 0.500
Zn3 0.500 0.500 0.000
Au1 0.128 0.128 0.128
Au2 0.872 0.872 0.872
# total magnetic moment = 0.00 μB per formula unit
# excess energy over the best structure of this formula in the dataset = 39 kJ/mol of formula units
# SG = R-3m
# E_form = -0.113 eV per atom
# total DFT energy (no corrections) = -2.19 eV/atom

[8]
# ZnAu2 | Alexandria | PBE | relaxed
data_ZnAu2
_chemical_formula_sum 'Zn2 Au4'
_cell_length_a 5.495
_cell_length_b 5.495
_cell_length_c 5.495
_cell_angle_alpha 60.00
_cell_angle_beta 60.00
_cell_angle_gamma 60.00
_space_group_name_H-M_alt 'P 1'
_space_group_IT_number 1
loop_
_space_group_symop_operation_xyz
'x,y,z'
loop_
_atom_site_label
_atom_site_fract_x
_atom_site_fract_y
_atom_site_fract_z
Zn1 0.125 0.125 0.125
Zn2 0.875 0.875 0.875
Au1 0.000 0.500 0.500
Au2 0.500 0.000 0.500
Au3 0.500 0.500 0.000
Au4 0.500 0.500 0.500
# total magnetic moment = 0.00 μB per formula unit
# SG = Fd-3m
# E_form = 0.090 eV per atom
# total DFT energy (no corrections) = -2.52 eV/atom

Which of these has the lowest total DFT energy (no corrections)?
ZnAu5

Please write out number 4 again, unchanged.
# ZnAu5 | Alexandria | PBE | relaxed
data_ZnAu5
_chemical_formula_sum 'Zn1 Au5'
_cell_length_a 6.495
_cell_length_b 6.495
_cell_length_c 4.267
_cell_angle_alpha 90.00
_cell_angle_beta 90.00
_cell_angle_gamma 144.23
_space_group_name_H-M_alt 'P 1'
_space_group_IT_number 1
loop_
_space_group_symop_operation_xyz
'x,y,z'
loop_
_atom_site_label
_atom_site_fract_x
_atom_site_fract_y
_atom_site_fract_z
Zn1 0.000 0.000 0.000
Au1 0.166 0.834 0.500
Au2 0.341 0.659 0.000
Au3 0.500 0.500 0.500
Au4 0.659 0.341 0.000
Au5 0.834 0.166 0.500
# total magnetic moment = 0.00 μB per formula unit
# SG = Cmmm
# E_form = -0.079 eV per atom
# total DFT energy (no corrections) = -3.02 eV/atom